Density functional theory data (PBE) for a geometry-optimized Re2TcAu structure.

Calculated values
Total DFT energy (no corrections) ... -8.928 eV per atom
Excess energy over the best structure of this formula in the dataset ... 510 meV/atom
Calculated formation energy ... 0.707 eV/atom

Unit cell a=4.459 b=4.459 c=4.459 alpha=60.00 beta=60.00 gamma=60.00
Fractional positions:
Tc1 0.000 0.000 0.000
Re1 0.750 0.750 0.750
Re2 0.250 0.250 0.250
Au1 0.500 0.500 0.500